Version i
## NaNb2O4 (PBEsol)

Data for an optimized crystal structure of NaNb2O4.

a b c (Å): 2.981 2.981 10.691
angles (deg): 90.00 90.00 120.00
Positions (direct):
Na 0.000 0.000 0.000
Nb 0.333 0.667 0.729
Nb 0.667 0.333 0.271
O 0.333 0.667 0.148
O 0.333 0.667 0.378
O 0.667 0.333 0.622
O 0.667 0.333 0.852

Summary:
spin magnetization	0.000	μB/atom

---

Version ii
## NaNb2O4 (PBEsol)

Data for an optimized crystal structure of NaNb2O4.

a b c (Å): 5.106 12.096 5.900
angles (deg): 90.00 90.00 90.00
Positions (direct):
Na 0.192 0.004 0.250
Na 0.192 0.496 0.750
Na 0.808 0.504 0.250
Na 0.808 0.996 0.750
Nb 0.159 0.747 0.250
Nb 0.159 0.753 0.750
Nb 0.344 0.250 0.000
Nb 0.344 0.250 0.500
Nb 0.656 0.750 0.000
Nb 0.656 0.750 0.500
Nb 0.841 0.247 0.250
Nb 0.841 0.253 0.750
O 0.009 0.147 0.503
O 0.009 0.147 0.997
O 0.009 0.353 0.003
O 0.009 0.353 0.497
O 0.487 0.649 0.750
O 0.487 0.851 0.250
O 0.495 0.647 0.250
O 0.495 0.853 0.750
O 0.505 0.147 0.250
O 0.505 0.353 0.750
O 0.513 0.149 0.750
O 0.513 0.351 0.250
O 0.991 0.647 0.503
O 0.991 0.647 0.997
O 0.991 0.853 0.003
O 0.991 0.853 0.497

Summary:
spin magnetization	0.000	μB/atom

---

Pick version ii: it beats the second-best structure by 103 meV/atom.

---

Version i
## Na3NbRh (PBEsol)

Data for an optimized crystal structure of Na3NbRh.

a b c (Å): 5.538 5.538 5.538
angles (deg): 90.00 90.00 90.00
Positions (direct):
Na 0.000 0.000 0.500
Na 0.000 0.500 0.000
Na 0.500 0.000 0.000
Nb 0.000 0.000 0.000
Rh 0.500 0.500 0.500

Summary:
spin magnetization	1.188	μB/atom

---

Version ii
## Na3NbRh (PBEsol)

Data for an optimized crystal structure of Na3NbRh.

a b c (Å): 5.139 5.139 5.139
angles (deg): 90.00 90.00 90.00
Positions (direct):
Na 0.000 0.000 0.500
Na 0.000 0.500 0.000
Na 0.500 0.000 0.000
Nb 0.500 0.500 0.500
Rh 0.000 0.000 0.000

Summary:
spin magnetization	0.808	μB/atom

---

Pick version ii: it beats the second-best structure by 563 meV/atom.